Record 1
Al2InCl | PBE | optimized geometry

abc: 6.315 6.315 4.946
angles: 112.91 112.91 29.71
Element x y z (fractional)
1 Al 0.245 0.245 0.245
2 Al 0.755 0.755 0.755
3 In 0.500 0.500 0.500
4 Cl 0.000 0.000 0.000

Values from the calculation:
As for the symmetry: C2/m (12). The calculation puts the energy above the most stable polymorph in this dataset at 145.4 meV per atom.

***

Record 2
GdPuSi2 | PBE | optimized geometry

abc: 5.167 5.167 5.167
angles: 55.39 55.39 55.39
Element x y z (fractional)
1 Gd 0.000 0.000 0.000
2 Pu 0.500 0.500 0.500
3 Si 0.246 0.246 0.246
4 Si 0.754 0.754 0.754

Values from the calculation:
As for the symmetry: R-3m (166).

***

| no. | formation energy (no corrections) (eV/atom) | electronic total energy (eV per atom) | Fermi-level density of states (states/eV/cell) |
| --- | --- | --- | --- |
| 1 | -0.07 | -3.085 | 1.654 |
| 2 | -0.34 | -10.159 | 8.160 |